VASP calculation (PBE) on a relaxed structure of Pm12H2Pt5.

Cell lengths 16.2230, 7.3666, 9.0209 Å; angles 90.00, 105.32, 90.00 degrees
Closest atoms and distances in Å follow each position.
Space group C2/m (No. 12)
Unique sites:
Pm (0.0012, 0.0000, 0.2226) [4 per cell]  2 H 2.67, 1 Pt 2.88
Pm (0.0111, 0.5000, 0.8150) [4 per cell]  2 H 2.58, 1 Pt 2.80
Pm (0.1456, 0.2500, 0.5638) [8 per cell]  4 Pt 2.93-3.04
Pm (0.1688, 0.2485, 0.0971) [8 per cell]  1 H 2.65, 1 Pt 2.89
H (0.0000, 0.2395, 0.0000) [4 per cell]  6 Pm 2.58-2.67
Pt (0.0000, 0.5000, 0.5000) [2 per cell]  6 Pm 2.80-2.93
Pt (0.1826, 0.0000, 0.8411) [4 per cell]  7 Pm 2.88-3.04
Pt (0.2012, 0.0000, 0.3546) [4 per cell]  7 Pm 2.89-3.15

electronic total energy: -5.596 eV per atom